Compound: MnBi2RhO8
Source: the Alexandria database
Functional: PBE with a Hubbard U
Structure: optimized geometry

Summary:
Total magnetization = 5.136 Bohr magnetons per cell
Calculated total energy = -6.13 eV per atom

Cell and atoms, written as extended XYZ:
```
12
Lattice="3.364 -3.395 0.000 3.364 3.395 0.000 0.000 0.000 6.813" Properties=species:S:1:pos:R:3 pbc="T T T"
Mn 0.000 0.000 0.000
Bi 3.364 0.000 1.701
Bi 3.364 0.000 5.112
Rh 0.000 0.000 3.406
O 3.364 2.178 1.761
O 3.364 2.178 5.052
O 1.958 0.000 3.406
O 1.968 0.000 0.000
O 4.759 0.000 0.000
O 4.769 0.000 3.406
O 3.364 -2.178 1.761
O 3.364 -2.178 5.052
```